PuNbSi2: optimized geometry, PBE-GGA.

Summary:
Size of the total moment: 5.5 μB per formula unit
Offset from the most stable computed form: 0 meV per atom

Cell: 3.424 3.424 6.175 Å, 90.00 90.00 90.00°
Sites, in units of the cell vectors:
Nb  0.500  0.500  0.500
Si  0.000  0.000  0.700
Si  0.000  0.000  0.300
Pu  0.500  0.500  0.000